The following is a PBE calculation of a relaxed structure of PrEuDyTm, from Alexandria via LeMat-Bulk.

Output
DFT formation energy, eV per atom: 0.147
Crystal system: cubic

Unit cell a=8.188 b=8.188 c=8.188 alpha=90.00 beta=90.00 gamma=90.00
Space group F-43m (No. 216)
Asymmetric unit:
Pr 0.000 0.000 0.000
Eu 0.250 0.250 0.250
Dy 0.000 0.000 0.500
Tm 0.250 0.250 0.750